VASP calculation (PBE-GGA) on Sm2MgGa3Au4 after structural relaxation.

a b c (Å): 4.405 4.405 10.806
angles (deg): 90.00 90.00 90.00
Element x y z (fractional)
Sm: 0.000 0.500 0.238
Sm: 0.500 0.000 0.762
Mg: 0.000 0.000 0.500
Ga: 0.000 0.500 0.869
Ga: 0.500 0.000 0.131
Ga: 0.500 0.500 0.500
Au: 0.000 0.000 0.000
Au: 0.000 0.500 0.639
Au: 0.500 0.000 0.361
Au: 0.500 0.500 0.000

Energy of formation from the pure elements: -0.63 eV/atom
Volume: 20.96 Å³/atom